Here is a geometry-optimized KRb2V2O6 structure from Alexandria via LeMat-Bulk. Energies are from PBE with a Hubbard U.

* uncorrected energy: -66.60 eV/cell
* space-group type: C2/m (12)

a b c (Å): 6.5729 6.3951 7.2743
angles (deg): 113.43 90.00 120.92
Last column: nearest neighbours and their distance in Å.
Fractional positions:
O (0.8253, 0.0870, 0.8054)  1 V 1.71
V (0.0465, 0.0931, 0.2158)  3 O 1.69-1.71
Rb (0.2970, 0.5940, 0.8279)  5 O 2.98-3.07
O (0.1747, 0.9130, 0.1946)  1 V 1.71
V (0.9535, 0.9069, 0.7842)  3 O 1.69-1.71
O (0.7822, 0.5644, 0.6238)  1 V 1.69
K (0.5000, 0.0000, 0.5000)  6 O 2.76-2.80
O (0.2617, 0.0870, 0.8054)  1 V 1.71
O (0.7383, 0.9130, 0.1946)  1 V 1.71
Rb (0.7030, 0.4060, 0.1721)  5 O 2.98-3.07
O (0.2178, 0.4356, 0.3762)  1 V 1.69